Record 1
{"formula": "NiW2Br", "functional": "PBE", "state": "optimized geometry", "vol_a3_per_atom": 15.3, "de_polymorph_mev_per_atom": 418.6, "rho_g_cm3": 13.70, "dft_energy_ev_per_atom": -7.44, "space_group": "Imm2", "lattice_angstrom": [[2.9123, 0.0000, 0.0000], [0.0000, 4.6237, 0.0000], [0.0000, 0.0000, 9.1117]], "species": ["Ni", "Ni", "W", "W", "W", "W", "Br", "Br"], "fractional_positions": [[0.0000, 0.0000, 0.0000], [0.5000, 0.5000, 0.5000], [0.0000, 0.0000, 0.5233], [0.0000, 0.5000, 0.7349], [0.5000, 0.0000, 0.2349], [0.5000, 0.5000, 0.0233], [0.0000, 0.5000, 0.2589], [0.5000, 0.0000, 0.7589]]}

***

Record 2
{"formula": "NiW2Br", "functional": "PBE", "state": "optimized geometry", "vol_a3_per_atom": 15.9, "de_polymorph_mev_per_atom": 510.6, "rho_g_cm3": 13.25, "dft_energy_ev_per_atom": -7.35, "space_group": "Immm", "lattice_angstrom": [[3.0280, 0.0000, 0.0000], [0.0000, 4.4882, 0.0000], [0.0000, 0.0000, 9.3391]], "species": ["Ni", "Ni", "W", "W", "W", "W", "Br", "Br"], "fractional_positions": [[0.0000, 0.0000, 0.0000], [0.5000, 0.5000, 0.5000], [0.0000, 0.5000, 0.2438], [0.0000, 0.5000, 0.7562], [0.5000, 0.0000, 0.2562], [0.5000, 0.0000, 0.7438], [0.0000, 0.0000, 0.5000], [0.5000, 0.5000, 0.0000]]}

***

Record 3
{"formula": "NiW2Br", "functional": "PBE", "state": "optimized geometry", "vol_a3_per_atom": 15.7, "de_polymorph_mev_per_atom": 648.2, "rho_g_cm3": 13.36, "dft_energy_ev_per_atom": -7.21, "space_group": "Cmmm", "lattice_angstrom": [[5.2750, 0.0000, 0.0000], [0.0000, 8.4155, 0.0000], [0.0000, 0.0000, 2.8350]], "species": ["Ni", "Ni", "W", "W", "W", "W", "Br", "Br"], "fractional_positions": [[0.0000, 0.0000, 0.0000], [0.5000, 0.5000, 0.0000], [0.2500, 0.2500, 0.5000], [0.2500, 0.7500, 0.5000], [0.7500, 0.2500, 0.5000], [0.7500, 0.7500, 0.5000], [0.0000, 0.5000, 0.0000], [0.5000, 0.0000, 0.0000]]}

***

Record 4
{"formula": "NiWBr2", "functional": "PBE", "state": "optimized geometry", "vol_a3_per_atom": 18.4, "de_polymorph_mev_per_atom": 969.5, "rho_g_cm3": 9.10, "dft_energy_ev_per_atom": -4.41, "space_group": "Pmmm", "lattice_angstrom": [[3.0053, 0.0000, 0.0000], [0.0000, 4.2728, 0.0000], [0.0000, 0.0000, 5.7190]], "species": ["Ni", "W", "Br", "Br"], "fractional_positions": [[0.0000, 0.0000, 0.0000], [0.5000, 0.0000, 0.5000], [0.0000, 0.5000, 0.5000], [0.5000, 0.5000, 0.0000]]}

***

Record 5
{"formula": "YNiW2Br", "functional": "PBE", "state": "optimized geometry", "vol_a3_per_atom": 21.1, "rho_g_cm3": 9.37, "dft_energy_ev_per_atom": -6.76, "space_group": "P4/mmm", "lattice_angstrom": [[4.5775, 0.0000, 0.0000], [0.0000, 4.5775, 0.0000], [0.0000, 0.0000, 5.0358]], "species": ["Y", "Ni", "W", "W", "Br"], "fractional_positions": [[0.0000, 0.0000, 0.0000], [0.5000, 0.5000, 0.5000], [0.0000, 0.5000, 0.5000], [0.5000, 0.0000, 0.5000], [0.5000, 0.5000, 0.0000]]}

***

Record 6
{"formula": "YNiBr", "functional": "PBE", "state": "optimized geometry", "vol_a3_per_atom": 21.7, "rho_g_cm3": 5.80, "dft_energy_ev_per_atom": -5.14, "space_group": "I4mm", "lattice_angstrom": [[3.4911, 0.0000, 0.0000], [0.0000, 3.4911, 0.0000], [0.0000, 0.0000, 10.6797]], "species": ["Y", "Y", "Ni", "Ni", "Br", "Br"], "fractional_positions": [[0.0000, 0.0000, 0.0000], [0.5000, 0.5000, 0.5000], [0.0000, 0.0000, 0.6255], [0.5000, 0.5000, 0.1255], [0.0000, 0.0000, 0.3073], [0.5000, 0.5000, 0.8073]]}

***

Record 7
{"formula": "Y4NiBr5", "functional": "PBE", "state": "optimized geometry", "vol_a3_per_atom": 30.1, "rho_g_cm3": 4.48, "dft_energy_ev_per_atom": -5.37, "space_group": "C2/m", "lattice_angstrom": [[9.2540, -1.9757, 0.0000], [9.2540, 1.9757, 0.0000], [-1.8611, 0.0000, 8.2420]], "species": ["Y", "Y", "Y", "Y", "Ni", "Br", "Br", "Br", "Br", "Br"], "fractional_positions": [[0.0009, 0.0009, 0.2135], [0.3537, 0.3537, 0.9222], [0.6463, 0.6463, 0.0778], [0.9991, 0.9991, 0.7865], [0.5000, 0.5000, 0.0000], [0.1682, 0.1682, 0.3358], [0.1776, 0.1776, 0.8403], [0.5000, 0.5000, 0.5000], [0.8224, 0.8224, 0.1597], [0.8318, 0.8318, 0.6642]]}

***

Record 8
{"formula": "YNiBr2", "functional": "PBE", "state": "optimized geometry", "vol_a3_per_atom": 29.4, "de_polymorph_mev_per_atom": 137.6, "rho_g_cm3": 4.34, "dft_energy_ev_per_atom": -4.62, "space_group": "Cm", "lattice_angstrom": [[11.9350, 0.0000, 0.0000], [0.0000, 3.7154, 0.0000], [-0.5244, 0.0000, 5.3055]], "species": ["Y", "Y", "Ni", "Ni", "Br", "Br", "Br", "Br"], "fractional_positions": [[0.0000, 0.0000, 0.0000], [0.5000, 0.5000, 0.0000], [0.3696, 0.0000, 0.1680], [0.8696, 0.5000, 0.1680], [0.1898, 0.5000, 0.1051], [0.4003, 0.0000, 0.6243], [0.6898, 0.0000, 0.1051], [0.9003, 0.5000, 0.6243]]}

***

Record order is preserved below.
Formation energy without anion corrections: 899, 991, 1128, 1112, 1208, -497, -1366, -722 meV/atom